(1)
{
  "formula": "Li2TcNiMo",
  "functional": "PBE",
  "state": "relaxed",
  "energy_ev_per_cell": -22.8,
  "spacegroup": "P4/mmm (123)",
  "cell": [[4.655, 0.000, 0.000], [0.000, 4.456, 0.000], [0.000, 0.000, 4.655]],
  "species": ["Ni", "Mo", "Tc", "Li", "Li"],
  "fractional_positions": [[0.500, 0.500, 0.500], [0.000, 0.000, 0.000], [0.000, 0.500, 0.000], [0.000, 0.000, 0.500], [0.500, 0.000, 0.000]]
}



(2)
{
  "formula": "LiNiTe2Mo",
  "functional": "PBE",
  "state": "relaxed",
  "energy_ev_per_cell": -20.9,
  "spacegroup": "P4/mmm (123)",
  "cell": [[-2.508, -1.808, 3.863], [3.457, -1.043, 1.756], [0.212, 4.423, 2.208]],
  "species": ["Ni", "Mo", "Te", "Te", "Li"],
  "fractional_positions": [[0.000, 0.500, 0.000], [0.500, 0.500, 0.500], [0.000, 0.000, 0.500], [0.500, 0.000, 0.000], [0.000, 0.000, 0.000]]
}